The following is a DFT calculation (PBE) of a relaxed Rb2SrCoH6 crystal.

The space group is P-3m1 (No. 164) and the conventional cell measures 6.1037, 6.1037 and 6.0738 Å, with angles of 90.00, 90.00 and 120.00 degrees. Symmetry generates all atoms from Rb at (0.3333, 0.6667, 0.1195), Sr at (0.0000, 0.0000, 0.5000), Co at (0.0000, 0.0000, 0.0000) and H at (0.1210, 0.2419, 0.8498).

The value obtained for the total energy is -33.209 eV/cell. The density comes out at 2.74 g cm⁻³.